# 1
Al2TeCl | PBE | optimized geometry

ΔE to the lowest computed polymorph = 198.2 meV/atom
Formation energy (no corrections) = -0.23 eV per atom
Spin magnetization = 0.000 μB/cell
Space-group type = P2/m (10)

a = 3.7830 Å, b = 5.1937 Å, c = 6.0751 Å
α = 99.41°, β = 90.00°, γ = 90.00°
Element x y z (fractional)
Al (0.0000, 0.8812, 0.0788)
Al (0.0000, 0.6188, 0.4212)
Cl (0.5000, 0.2500, 0.2500)
Te (0.5000, 0.7500, 0.7500)

# 2
Nd2Tm2Pb3 | PBE | optimized geometry

Spin magnetization = 0.000 μB/cell
Space-group type = C2/m (12)
Energy of formation from the pure elements = -5.42 kcal/mol of atoms

a = 4.6319 Å, b = 8.0724 Å, c = 8.4790 Å
α = 118.01°, β = 105.85°, γ = 90.00°
Element x y z (fractional)
Tm (0.1475, 0.3725, 0.2949)
Nd (0.6424, 0.7624, 0.2848)
Pb (0.0000, 0.5000, 0.0000)
Tm (0.8525, 0.6275, 0.7051)
Nd (0.3576, 0.2376, 0.7152)
Pb (0.2957, 0.7989, 0.5915)
Pb (0.7043, 0.2011, 0.4085)

# 3
ErSi2Ru | PBE | optimized geometry

Formation energy (no corrections) = -0.72 eV per atom
Spin magnetization = 0.000 μB/cell
Space-group type = Pnma (62)

a = 4.1484 Å, b = 6.5050 Å, c = 9.9518 Å
α = 90.00°, β = 90.00°, γ = 90.00°
Element x y z (fractional)
Ru (0.2500, 0.0848, 0.4005)
Si (0.2500, 0.9571, 0.1596)
Ru (0.7500, 0.9152, 0.5995)
Er (0.7500, 0.2653, 0.1775)
Er (0.2500, 0.2347, 0.6775)
Er (0.7500, 0.7653, 0.3225)
Si (0.2500, 0.4571, 0.3404)
Er (0.2500, 0.7347, 0.8225)
Si (0.7500, 0.2485, 0.4703)
Si (0.7500, 0.7485, 0.0297)
Si (0.2500, 0.2515, 0.9703)
Ru (0.7500, 0.4152, 0.9005)
Si (0.7500, 0.5429, 0.6596)
Si (0.7500, 0.0429, 0.8404)
Ru (0.2500, 0.5848, 0.0995)
Si (0.2500, 0.7515, 0.5297)

# 4
LaPAu2 | PBE | optimized geometry

Spin magnetization = 0.000 μB/cell
Space-group type = R-3m (166)
Energy of formation from the pure elements = -11.76 kcal/mol of atoms

a = 5.8070 Å, b = 5.8070 Å, c = 5.8070 Å
α = 45.19°, β = 45.19°, γ = 45.19°
Element x y z (fractional)
La (0.2500, 0.2500, 0.2500)
P (0.7500, 0.7500, 0.7500)
Au (0.0290, 0.0290, 0.0290)
Au (0.4710, 0.4710, 0.4710)

# 5
Zn5Te | PBE | optimized geometry

ΔE to the lowest computed polymorph = 0.0 meV/atom
Formation energy (no corrections) = 0.06 eV per atom
Spin magnetization = 0.000 μB/cell
Space-group type = Cm (8)

a = 6.7801 Å, b = 6.7801 Å, c = 4.9460 Å
α = 68.36°, β = 68.36°, γ = 37.53°
Element x y z (fractional)
Zn (0.7216, 0.7216, 0.3353)
Zn (0.8787, 0.8787, 0.6746)
Zn (0.2864, 0.2864, 0.0182)
Te (0.0085, 0.0085, 0.0443)
Zn (0.2861, 0.2861, 0.5209)
Zn (0.6520, 0.6520, 0.9068)

# 6
Ac2Tb2Y5 | PBE | optimized geometry

Spin magnetization = 0.000 μB/cell
Space-group type = C2/m (12)
Energy of formation from the pure elements = 4.98 kcal/mol of atoms

a = 3.6218 Å, b = 12.9191 Å, c = 8.3595 Å
α = 59.27°, β = 90.00°, γ = 98.06°
Element x y z (fractional)
Y (0.3099, 0.6198, 0.8462)
Tb (0.4528, 0.9056, 0.7409)
Y (0.0908, 0.1816, 0.5382)
Y (0.9092, 0.8184, 0.4618)
Ac (0.8205, 0.6410, 0.2235)
Tb (0.5472, 0.0944, 0.2591)
Ac (0.1795, 0.3590, 0.7765)
Y (0.6901, 0.3802, 0.1538)
Y (0.0000, 0.0000, 0.0000)

# 7
Tl2TcOs | PBE | optimized geometry

ΔE to the lowest computed polymorph = 623.7 meV/atom
Spin magnetization = 0.850 μB/cell
Space-group type = Cmmm (65)
Energy of formation from the pure elements = 24.54 kcal/mol of atoms

a = 3.0430 Å, b = 3.0430 Å, c = 9.3203 Å
α = 90.00°, β = 90.00°, γ = 118.70°
Last column: magnetic moment on the atom in μB.
Element x y z (fractional)
Tl (0.0000, 0.0000, 0.4992)  -0.01
Os (0.5000, 0.5000, 0.2500)  0.01
Tl (0.0000, 0.0000, 0.0008)  -0.01
Tc (0.5000, 0.5000, 0.7500)  0.79

# 8
Sm3Rh5N12 | PBE | optimized geometry

Formation energy (no corrections) = 0.15 eV per atom
Spin magnetization = 0.000 μB/cell
Space-group type = Ia-3d (230)

a = 11.0372 Å, b = 11.0372 Å, c = 11.0372 Å
α = 109.47°, β = 109.47°, γ = 109.47°
Element x y z (fractional)
N (0.8179, 0.9054, 0.0219)
N (0.0946, 0.1821, 0.4781)
N (0.7959, 0.4781, 0.3835)
Sm (0.7500, 0.3750, 0.1250)
N (0.5219, 0.3179, 0.9054)
N (0.8179, 0.9124, 0.2959)
N (0.9054, 0.0876, 0.8835)
Sm (0.6250, 0.3750, 0.7500)
Sm (0.1250, 0.8750, 0.7500)
Rh (0.1250, 0.7500, 0.3750)
N (0.5876, 0.7041, 0.6821)
N (0.4781, 0.7959, 0.8835)
N (0.9781, 0.3835, 0.2959)
Rh (0.0000, 0.5000, 0.0000)
N (0.9781, 0.5946, 0.1821)
N (0.4054, 0.0219, 0.3179)
N (0.6165, 0.0219, 0.2041)
N (0.7041, 0.1165, 0.0219)
N (0.2041, 0.5219, 0.6165)
Rh (0.1250, 0.3750, 0.2500)
Sm (0.7500, 0.8750, 0.6250)
Rh (0.8750, 0.6250, 0.7500)
Rh (0.8750, 0.2500, 0.6250)
N (0.0876, 0.9054, 0.3835)
Rh (0.2500, 0.3750, 0.6250)
Rh (0.5000, 0.0000, 0.5000)
Rh (0.3750, 0.1250, 0.7500)
Rh (0.7500, 0.1250, 0.8750)
Sm (0.3750, 0.7500, 0.6250)
Sm (0.8750, 0.7500, 0.1250)
N (0.4124, 0.2959, 0.3179)
N (0.8835, 0.2959, 0.4781)
N (0.2959, 0.8835, 0.9781)
Sm (0.2500, 0.1250, 0.3750)
N (0.1165, 0.7041, 0.5219)
N (0.5876, 0.8835, 0.4054)
Rh (0.0000, 0.0000, 0.0000)
Sm (0.1250, 0.2500, 0.8750)
N (0.9124, 0.0946, 0.6165)
Rh (0.5000, 0.5000, 0.5000)
N (0.1165, 0.4124, 0.0946)
N (0.7959, 0.3179, 0.9124)
N (0.3835, 0.4054, 0.0876)
N (0.6821, 0.4781, 0.5946)
N (0.8835, 0.5876, 0.9054)
N (0.5946, 0.6165, 0.4124)
N (0.7041, 0.5876, 0.1821)
N (0.6821, 0.2041, 0.5876)
N (0.0946, 0.9124, 0.1165)
N (0.6165, 0.5946, 0.9124)
Rh (0.3750, 0.2500, 0.1250)
Rh (0.6250, 0.7500, 0.8750)
N (0.4054, 0.3835, 0.5876)
Rh (0.5000, 0.0000, 0.0000)
Sm (0.2500, 0.6250, 0.8750)
Rh (0.6250, 0.8750, 0.2500)
Rh (0.0000, 0.5000, 0.5000)
N (0.2041, 0.6821, 0.0876)
N (0.0219, 0.4054, 0.8179)
N (0.5946, 0.9781, 0.6821)
Rh (0.7500, 0.6250, 0.3750)
N (0.3835, 0.9781, 0.7959)
N (0.4781, 0.6821, 0.0946)
N (0.9054, 0.8179, 0.5219)
Rh (0.5000, 0.5000, 0.0000)
N (0.0876, 0.1821, 0.2041)
N (0.5219, 0.2041, 0.1165)
Sm (0.8750, 0.1250, 0.2500)
N (0.3179, 0.7959, 0.4124)
N (0.1821, 0.0876, 0.7041)
N (0.4124, 0.1165, 0.5946)
N (0.0219, 0.6165, 0.7041)
Rh (0.2500, 0.8750, 0.1250)
N (0.9124, 0.8179, 0.7959)
Sm (0.3750, 0.6250, 0.2500)
N (0.2959, 0.4124, 0.8179)
N (0.3179, 0.5219, 0.4054)
N (0.1821, 0.0946, 0.9781)
Rh (0.0000, 0.0000, 0.5000)
Sm (0.6250, 0.2500, 0.3750)

# 9
Y2ReRu | PBE | optimized geometry

ΔE to the lowest computed polymorph = 376.6 meV/atom
Spin magnetization = 0.000 μB/cell
Space-group type = I-4m2 (119)
Energy of formation from the pure elements = 7.75 kcal/mol of atoms

a = 5.7509 Å, b = 5.7509 Å, c = 5.7509 Å
α = 138.77°, β = 138.77°, γ = 59.73°
Element x y z (fractional)
Ru (0.7500, 0.2500, 0.5000)
Y (0.2500, 0.7500, 0.5000)
Y (0.0000, 0.0000, 0.0000)
Re (0.5000, 0.5000, 0.0000)

# 10
TlInS2Cl | PBE | optimized geometry

ΔE to the lowest computed polymorph = 361.1 meV/atom
Formation energy (no corrections) = 0.06 eV per atom
Spin magnetization = 0.255 μB/cell
Space-group type = P4/mmm (123)

a = 5.1475 Å, b = 5.1475 Å, c = 5.4919 Å
α = 90.00°, β = 90.00°, γ = 90.00°
Last column: magnetic moment on the atom in μB.
Element x y z (fractional)
Cl (0.0000, 0.0000, 0.5000)  0.00
S (0.5000, 0.0000, 0.0000)  0.08
Tl (0.0000, 0.0000, 0.0000)  0.00
In (0.5000, 0.5000, 0.5000)  0.01
S (0.0000, 0.5000, 0.0000)  0.08

# 11
RbCd3Pd | PBE | optimized geometry

ΔE to the lowest computed polymorph = 76.8 meV/atom
Spin magnetization = 0.000 μB/cell
Space-group type = Imma (74)
Energy of formation from the pure elements = -2.69 kcal/mol of atoms

a = 5.9483 Å, b = 14.3903 Å, c = 6.8104 Å
α = 90.00°, β = 90.00°, γ = 90.00°
Element x y z (fractional)
Cd (0.0002, 0.1420, 0.9869)
Cd (0.4998, 0.8580, 0.4869)
Cd (0.5002, 0.1420, 0.5131)
Pd (0.2504, 0.2500, 0.2499)
Pd (0.7504, 0.2500, 0.2501)
Pd (0.7496, 0.7500, 0.7501)
Cd (0.5006, 0.2500, 0.9048)
Cd (0.0006, 0.2500, 0.5952)
Cd (0.9994, 0.7500, 0.4048)
Pd (0.2496, 0.7500, 0.7499)
Rb (0.5000, 0.5000, 0.0000)
Rb (0.0000, 0.0000, 0.5000)
Rb (0.5000, 0.0000, 0.0000)
Cd (0.9998, 0.8580, 0.0131)
Cd (0.4994, 0.7500, 0.0952)
Rb (0.0000, 0.5000, 0.5000)
Cd (0.5002, 0.3580, 0.5131)
Cd (0.4998, 0.6420, 0.4869)
Cd (0.0002, 0.3580, 0.9869)
Cd (0.9998, 0.6420, 0.0131)

# 12
CuSb3Br | PBE | optimized geometry

ΔE to the lowest computed polymorph = 0.0 meV/atom
Formation energy (no corrections) = 0.44 eV per atom
Spin magnetization = 0.000 μB/cell
Space-group type = Pm-3m (221)

a = 5.1592 Å, b = 5.1592 Å, c = 5.1592 Å
α = 90.00°, β = 90.00°, γ = 90.00°
Element x y z (fractional)
Cu (0.0000, 0.0000, 0.0000)
Sb (0.0000, 0.5000, 0.0000)
Br (0.5000, 0.5000, 0.5000)
Sb (0.5000, 0.0000, 0.0000)
Sb (0.0000, 0.0000, 0.5000)

Question: The highest spin magnetization belongs to which entry?
Answer: Tl2TcOs

Question: The highest spin magnetization belongs to which entry?
Answer: Tl2TcOs